Entry from the Alexandria database: a relaxed RbAcF3 crystal (GGA-PBE).

Values from the calculation:
- final energy (eV/atom) = -5.25
- ΔE_f (raw) (eV per atom) = -3.109
- space group = Pm-3m, No. 221

abc: 5.0253 5.0253 5.0253
angles: 90.00 90.00 90.00
Atoms (fractional coordinates):
Rb: 0.0000 0.0000 0.0000
Ac: 0.5000 0.5000 0.5000
F: 0.0000 0.5000 0.5000
F: 0.5000 0.0000 0.5000
F: 0.5000 0.5000 0.0000